# 1
Compound: Nd3Y12Th
Source: Alexandria via LeMat-Bulk
Functional: PBE
Structure: relaxed

Cell lengths 5.0834, 5.0834, 20.3440 Å; angles 90.00, 90.00, 90.00 degrees
Sites, in units of the cell vectors:
Nd 0.0000 0.0000 0.0000
Nd 0.0000 0.0000 0.2510
Nd 0.0000 0.0000 0.7490
Y 0.0000 0.5000 0.1257
Y 0.0000 0.5000 0.3779
Y 0.0000 0.5000 0.6221
Y 0.0000 0.5000 0.8743
Y 0.5000 0.0000 0.1257
Y 0.5000 0.0000 0.3779
Y 0.5000 0.0000 0.6221
Y 0.5000 0.0000 0.8743
Y 0.5000 0.5000 0.0000
Y 0.5000 0.5000 0.2505
Y 0.5000 0.5000 0.5000
Y 0.5000 0.5000 0.7495
Th 0.0000 0.0000 0.5000

total magnetization: 0.0 μB/f.u.
calculated formation energy: 0.026 eV/atom

# 2
Compound: IrSe2Cl
Source: Alexandria via LeMat-Bulk
Functional: PBE
Structure: relaxed

Cell lengths 6.5412, 6.5412, 6.5412 Å; angles 117.79, 117.79, 93.87 degrees
Sites, in units of the cell vectors:
Ir 0.0000 0.0000 0.0000
Ir 0.7500 0.2500 0.5000
Se 0.0541 0.6250 0.9291
Se 0.3750 0.3041 0.4291
Se 0.6959 0.1250 0.0709
Se 0.8750 0.9459 0.5709
Cl 0.2500 0.7500 0.5000
Cl 0.5000 0.5000 0.0000

total magnetization: 0.0 μB/f.u.
formation energy (no corrections): 0.16 eV/f.u.

# 3
Compound: AlTlRe
Source: Alexandria via LeMat-Bulk
Functional: PBE
Structure: relaxed

Cell lengths 3.0442, 3.0442, 6.8757 Å; angles 90.00, 90.00, 120.00 degrees
Sites, in units of the cell vectors:
Al 0.0000 0.0000 0.0000
Tl 0.3333 0.6667 0.6262
Re 0.6667 0.3333 0.2751

total magnetization: 0.0 μB/f.u.
calculated formation energy: 0.555 eV/atom

# 4
Compound: LaCdCl3
Source: Alexandria via LeMat-Bulk
Functional: PBE
Structure: relaxed

Cell lengths 5.6207, 5.6207, 5.6207 Å; angles 90.00, 90.00, 90.00 degrees
Sites, in units of the cell vectors:
La 0.0000 0.0000 0.0000
Cd 0.5000 0.5000 0.5000
Cl 0.0000 0.0000 0.5000
Cl 0.0000 0.5000 0.0000
Cl 0.5000 0.0000 0.0000

total magnetization: 0.0 μB/f.u.
formation energy (no corrections): -8.51 eV/f.u.

# 5
Compound: Pa2MnSi4Rh3
Source: Alexandria via LeMat-Bulk
Functional: PBE
Structure: relaxed

Cell lengths 4.1269, 4.1269, 9.6057 Å; angles 90.00, 90.00, 90.00 degrees
Sites, in units of the cell vectors:
Pa 0.0000 0.5000 0.2388
Pa 0.5000 0.0000 0.7612
Mn 0.5000 0.5000 0.0000
Si 0.0000 0.0000 0.5000
Si 0.0000 0.5000 0.8744
Si 0.5000 0.0000 0.1256
Si 0.5000 0.5000 0.5000
Rh 0.0000 0.0000 0.0000
Rh 0.0000 0.5000 0.6272
Rh 0.5000 0.0000 0.3728

total magnetization: 0.2 μB/f.u.
formation energy (no corrections): -8.48 eV/f.u.

# 6
Compound: Na2Li15Cd2
Source: Alexandria via LeMat-Bulk
Functional: PBE
Structure: relaxed

Cell lengths 7.5245, 7.5245, 7.5245 Å; angles 83.35, 83.35, 83.35 degrees
Sites, in units of the cell vectors:
Na 0.1575 0.1575 0.1575
Na 0.8425 0.8425 0.8425
Li 0.0000 0.5000 0.5000
Li 0.1458 0.1458 0.6274
Li 0.1458 0.6275 0.1458
Li 0.2262 0.5000 0.7738
Li 0.2262 0.7738 0.5000
Li 0.3726 0.8542 0.8542
Li 0.5000 0.0000 0.5000
Li 0.5000 0.2262 0.7738
Li 0.5000 0.5000 0.0000
Li 0.5000 0.7738 0.2262
Li 0.6274 0.1458 0.1458
Li 0.7738 0.2262 0.5000
Li 0.7738 0.5000 0.2262
Li 0.8542 0.3726 0.8542
Li 0.8542 0.8542 0.3726
Cd 0.3959 0.3959 0.3959
Cd 0.6041 0.6041 0.6041

total magnetization: 0.0 μB/f.u.
calculated formation energy: -0.008 eV/atom

# 7
Compound: Ba6Ge3H
Source: Alexandria via LeMat-Bulk
Functional: PBE
Structure: relaxed

Cell lengths 10.3899, 10.3899, 7.9578 Å; angles 90.00, 90.00, 104.07 degrees
Sites, in units of the cell vectors:
Ba 0.0401 0.9599 0.5000
Ba 0.1080 0.5735 0.4617
Ba 0.2234 0.7766 0.9842
Ba 0.3196 0.3535 0.9594
Ba 0.3535 0.3196 0.4594
Ba 0.4265 0.8920 0.4617
Ba 0.5735 0.1080 0.9617
Ba 0.6465 0.6804 0.9594
Ba 0.6804 0.6465 0.4594
Ba 0.7766 0.2234 0.4842
Ba 0.8920 0.4265 0.9617
Ba 0.9599 0.0401 0.0000
Ge 0.0658 0.2805 0.6850
Ge 0.2805 0.0658 0.1850
Ge 0.3896 0.6104 0.2393
Ge 0.6104 0.3896 0.7393
Ge 0.7195 0.9342 0.6850
Ge 0.9342 0.7195 0.1850
H 0.1956 0.8044 0.6362
H 0.8044 0.1956 0.1362

total magnetization: 0.0 μB/f.u.
E_tot: -65.51 eV/cell

# 8
Compound: ScCdSe2N
Source: Alexandria via LeMat-Bulk
Functional: PBE
Structure: relaxed

Cell lengths 5.2845, 5.2845, 4.1026 Å; angles 90.00, 90.00, 90.00 degrees
Sites, in units of the cell vectors:
Sc 0.0000 0.0000 0.0000
Cd 0.5000 0.5000 0.5000
Se 0.0000 0.5000 0.5000
Se 0.5000 0.0000 0.5000
N 0.5000 0.5000 0.0000

total magnetization: 1.6 μB/f.u.
formation energy (no corrections): 2.42 eV/f.u.

# 9
Compound: Ca2TlAsI
Source: Alexandria via LeMat-Bulk
Functional: PBE
Structure: relaxed

Cell lengths 5.5930, 5.5930, 6.1437 Å; angles 90.00, 90.00, 90.00 degrees
Sites, in units of the cell vectors:
Ca 0.0000 0.5000 0.0000
Ca 0.5000 0.0000 0.0000
Tl 0.0000 0.0000 0.5000
As 0.5000 0.5000 0.0000
I 0.5000 0.5000 0.5000

total magnetization: 0.0 μB/f.u.
formation energy (no corrections): -1.93 eV/f.u.

# 10
Compound: KMgAlTe2
Source: Alexandria via LeMat-Bulk
Functional: PBE
Structure: relaxed

Cell lengths 5.4386, 5.4386, 6.3529 Å; angles 90.00, 90.00, 90.00 degrees
Sites, in units of the cell vectors:
K 0.0000 0.0000 0.0000
Mg 0.5000 0.5000 0.0000
Al 0.0000 0.0000 0.5000
Te 0.0000 0.5000 0.5000
Te 0.5000 0.0000 0.5000

total magnetization: 0.0 μB/f.u.
formation energy (no corrections): 0.50 eV/f.u.

# 11
Compound: NbGe2Au
Source: Alexandria via LeMat-Bulk
Functional: PBE
Structure: relaxed

Cell lengths 9.5059, 9.5059, 9.5059 Å; angles 18.38, 18.38, 18.38 degrees
Sites, in units of the cell vectors:
Nb 0.0000 0.0000 0.0000
Ge 0.4104 0.4104 0.4104
Ge 0.5896 0.5896 0.5896
Au 0.5000 0.5000 0.5000

total magnetization: 0.0 μB/f.u.
calculated formation energy: -0.062 eV/atom

# 12
Compound: NdLuGe2
Source: Alexandria via LeMat-Bulk
Functional: PBE
Structure: relaxed

Cell lengths 4.7813, 4.7813, 4.0564 Å; angles 90.00, 90.00, 90.00 degrees
Sites, in units of the cell vectors:
Nd 0.0000 0.0000 0.0000
Lu 0.5000 0.5000 0.0000
Ge 0.0000 0.5000 0.5000
Ge 0.5000 0.0000 0.5000

total magnetization: 0.0 μB/f.u.
calculated formation energy: -0.596 eV/atom